# CuGePt6 (GGA-PBE, optimized geometry)
data_CuGePt6
_cell_length_a 7.014
_cell_length_b 6.581
_cell_length_c 4.615
_cell_angle_alpha 75.31
_cell_angle_beta 65.17
_cell_angle_gamma 39.52
_space_group_name_H-M_alt 'P 1'
_space_group_IT_number 1
loop_
_space_group_symop_operation_xyz
'x,y,z'
loop_
_atom_site_label
_atom_site_type_symbol
_atom_site_fract_x
_atom_site_fract_y
_atom_site_fract_z
_atom_site_occupancy
Cu1 Cu 0.000 0.000 0.000 1
Ge1 Ge 0.500 0.500 0.500 1
Pt1 Pt 0.118 0.118 0.382 1
Pt2 Pt 0.246 0.246 0.754 1
Pt3 Pt 0.382 0.382 0.118 1
Pt4 Pt 0.618 0.618 0.882 1
Pt5 Pt 0.754 0.754 0.246 1
Pt6 Pt 0.882 0.882 0.618 1
# - formation energy (eV/atom) = -0.151
# - energy (eV per atom) = -5.77
# - symmetry = Fmmm, No. 69
# - relative energy among the computed polymorphs (meV/atom) = 0

# CuGePt2 (GGA-PBE, optimized geometry)
data_CuGePt2
_cell_length_a 6.891
_cell_length_b 6.891
_cell_length_c 5.431
_cell_angle_alpha 90.00
_cell_angle_beta 90.00
_cell_angle_gamma 90.00
_space_group_name_H-M_alt 'P 1'
_space_group_IT_number 1
loop_
_space_group_symop_operation_xyz
'x,y,z'
loop_
_atom_site_label
_atom_site_type_symbol
_atom_site_fract_x
_atom_site_fract_y
_atom_site_fract_z
_atom_site_occupancy
Cu1 Cu 0.000 0.000 0.000 1
Cu2 Cu 0.000 0.500 0.250 1
Cu3 Cu 0.500 0.000 0.750 1
Cu4 Cu 0.500 0.500 0.500 1
Ge1 Ge 0.000 0.000 0.500 1
Ge2 Ge 0.000 0.500 0.750 1
Ge3 Ge 0.500 0.000 0.250 1
Ge4 Ge 0.500 0.500 0.000 1
Pt1 Pt 0.231 0.250 0.625 1
Pt2 Pt 0.250 0.731 0.875 1
Pt3 Pt 0.250 0.769 0.375 1
Pt4 Pt 0.269 0.250 0.125 1
Pt5 Pt 0.731 0.750 0.125 1
Pt6 Pt 0.750 0.231 0.375 1
Pt7 Pt 0.750 0.269 0.875 1
Pt8 Pt 0.769 0.750 0.625 1
# - formation energy (eV/atom) = -0.097
# - energy (eV per atom) = -5.30
# - symmetry = I-42d, No. 122

# Cu3GePt (GGA-PBE, optimized geometry)
data_Cu3GePt
_cell_length_a 3.738
_cell_length_b 5.257
_cell_length_c 7.437
_cell_angle_alpha 100.22
_cell_angle_beta 90.06
_cell_angle_gamma 90.01
_space_group_name_H-M_alt 'P 1'
_space_group_IT_number 1
loop_
_space_group_symop_operation_xyz
'x,y,z'
loop_
_atom_site_label
_atom_site_type_symbol
_atom_site_fract_x
_atom_site_fract_y
_atom_site_fract_z
_atom_site_occupancy
Cu1 Cu 0.000 0.000 0.000 1
Cu2 Cu 0.000 0.498 0.010 1
Cu3 Cu 0.499 0.602 0.467 1
Cu4 Cu 0.500 0.199 0.822 1
Cu5 Cu 0.999 0.400 0.645 1
Cu6 Cu 0.999 0.903 0.649 1
Ge1 Ge 0.500 0.291 0.166 1
Ge2 Ge 0.998 0.827 0.293 1
Pt1 Pt 0.499 0.102 0.456 1
Pt2 Pt 0.500 0.698 0.824 1
# - formation energy (eV/atom) = -0.094
# - energy (eV per atom) = -4.68
# - symmetry = P1, No. 1
# - relative energy among the computed polymorphs (meV/atom) = 0

# Cu2GePt5 (GGA-PBE, optimized geometry)
data_Cu2GePt5
_cell_length_a 5.495
_cell_length_b 10.585
_cell_length_c 4.049
_cell_angle_alpha 90.00
_cell_angle_beta 90.00
_cell_angle_gamma 90.00
_space_group_name_H-M_alt 'P 1'
_space_group_IT_number 1
loop_
_space_group_symop_operation_xyz
'x,y,z'
loop_
_atom_site_label
_atom_site_type_symbol
_atom_site_fract_x
_atom_site_fract_y
_atom_site_fract_z
_atom_site_occupancy
Cu1 Cu 0.183 0.139 0.000 1
Cu2 Cu 0.317 0.639 0.000 1
Cu3 Cu 0.683 0.361 0.000 1
Cu4 Cu 0.817 0.861 0.000 1
Ge1 Ge 0.000 0.500 0.500 1
Ge2 Ge 0.500 0.000 0.500 1
Pt1 Pt 0.000 0.000 0.500 1
Pt2 Pt 0.067 0.738 0.500 1
Pt3 Pt 0.199 0.392 0.000 1
Pt4 Pt 0.301 0.892 0.000 1
Pt5 Pt 0.433 0.238 0.500 1
Pt6 Pt 0.500 0.500 0.500 1
Pt7 Pt 0.567 0.762 0.500 1
Pt8 Pt 0.699 0.108 0.000 1
Pt9 Pt 0.801 0.608 0.000 1
Pt10 Pt 0.933 0.262 0.500 1
# - formation energy (eV/atom) = -0.258
# - energy (eV per atom) = -5.63
# - symmetry = Pbam, No. 55

# Cu2GePt (GGA-PBE, optimized geometry)
data_Cu2GePt
_cell_length_a 3.776
_cell_length_b 3.776
_cell_length_c 3.880
_cell_angle_alpha 90.00
_cell_angle_beta 90.00
_cell_angle_gamma 90.00
_space_group_name_H-M_alt 'P 1'
_space_group_IT_number 1
loop_
_space_group_symop_operation_xyz
'x,y,z'
loop_
_atom_site_label
_atom_site_type_symbol
_atom_site_fract_x
_atom_site_fract_y
_atom_site_fract_z
_atom_site_occupancy
Cu1 Cu 0.000 0.500 0.000 1
Cu2 Cu 0.500 0.000 0.000 1
Ge1 Ge 0.000 0.000 0.500 1
Pt1 Pt 0.500 0.500 0.500 1
# - formation energy (eV/atom) = -0.142
# - energy (eV per atom) = -4.85
# - symmetry = P4/mmm, No. 123

# PuCuGePt3 (GGA-PBE, optimized geometry)
data_PuCuGePt3
_cell_length_a 6.761
_cell_length_b 6.761
_cell_length_c 5.646
_cell_angle_alpha 90.00
_cell_angle_beta 90.00
_cell_angle_gamma 119.55
_space_group_name_H-M_alt 'P 1'
_space_group_IT_number 1
loop_
_space_group_symop_operation_xyz
'x,y,z'
loop_
_atom_site_label
_atom_site_type_symbol
_atom_site_fract_x
_atom_site_fract_y
_atom_site_fract_z
_atom_site_occupancy
Pu1 Pu 0.205 0.795 0.750 1
Pu2 Pu 0.795 0.205 0.250 1
Cu1 Cu 0.439 0.561 0.750 1
Cu2 Cu 0.561 0.439 0.250 1
Ge1 Ge 0.130 0.870 0.250 1
Ge2 Ge 0.870 0.130 0.750 1
Pt1 Pt 0.213 0.213 0.000 1
Pt2 Pt 0.213 0.213 0.500 1
Pt3 Pt 0.335 0.665 0.250 1
Pt4 Pt 0.665 0.335 0.750 1
Pt5 Pt 0.787 0.787 0.000 1
Pt6 Pt 0.787 0.787 0.500 1
# - formation energy (eV/atom) = -0.369
# - energy (eV per atom) = -7.23
# - symmetry = Cmcm, No. 63

# Pu2CuGe3Pt4 (GGA-PBE, optimized geometry)
data_Pu2CuGe3Pt4
_cell_length_a 4.223
_cell_length_b 4.223
_cell_length_c 10.528
_cell_angle_alpha 90.00
_cell_angle_beta 90.00
_cell_angle_gamma 90.00
_space_group_name_H-M_alt 'P 1'
_space_group_IT_number 1
loop_
_space_group_symop_operation_xyz
'x,y,z'
loop_
_atom_site_label
_atom_site_type_symbol
_atom_site_fract_x
_atom_site_fract_y
_atom_site_fract_z
_atom_site_occupancy
Pu1 Pu 0.000 0.500 0.240 1
Pu2 Pu 0.500 0.000 0.760 1
Cu1 Cu 0.500 0.500 0.000 1
Ge1 Ge 0.000 0.000 0.000 1
Ge2 Ge 0.000 0.500 0.634 1
Ge3 Ge 0.500 0.000 0.366 1
Pt1 Pt 0.000 0.000 0.500 1
Pt2 Pt 0.000 0.500 0.865 1
Pt3 Pt 0.500 0.000 0.135 1
Pt4 Pt 0.500 0.500 0.500 1
# - formation energy (eV/atom) = -0.641
# - energy (eV per atom) = -7.72
# - symmetry = P-4m2, No. 115

# Pu2Cu3Ge4Pt (GGA-PBE, optimized geometry)
data_Pu2Cu3Ge4Pt
_cell_length_a 4.196
_cell_length_b 4.196
_cell_length_c 10.099
_cell_angle_alpha 90.00
_cell_angle_beta 90.00
_cell_angle_gamma 90.00
_space_group_name_H-M_alt 'P 1'
_space_group_IT_number 1
loop_
_space_group_symop_operation_xyz
'x,y,z'
loop_
_atom_site_label
_atom_site_type_symbol
_atom_site_fract_x
_atom_site_fract_y
_atom_site_fract_z
_atom_site_occupancy
Pu1 Pu 0.000 0.500 0.248 1
Pu2 Pu 0.500 0.000 0.752 1
Cu1 Cu 0.000 0.500 0.873 1
Cu2 Cu 0.500 0.000 0.127 1
Cu3 Cu 0.500 0.500 0.500 1
Ge1 Ge 0.000 0.000 0.000 1
Ge2 Ge 0.000 0.500 0.639 1
Ge3 Ge 0.500 0.000 0.361 1
Ge4 Ge 0.500 0.500 0.000 1
Pt1 Pt 0.000 0.000 0.500 1
# - formation energy (eV/atom) = -0.393
# - energy (eV per atom) = -6.94
# - symmetry = P-4m2, No. 115

# Pu2CuGe4Pt3 (GGA-PBE, optimized geometry)
data_Pu2CuGe4Pt3
_cell_length_a 4.298
_cell_length_b 4.298
_cell_length_c 10.211
_cell_angle_alpha 90.00
_cell_angle_beta 90.00
_cell_angle_gamma 90.00
_space_group_name_H-M_alt 'P 1'
_space_group_IT_number 1
loop_
_space_group_symop_operation_xyz
'x,y,z'
loop_
_atom_site_label
_atom_site_type_symbol
_atom_site_fract_x
_atom_site_fract_y
_atom_site_fract_z
_atom_site_occupancy
Pu1 Pu 0.000 0.500 0.245 1
Pu2 Pu 0.500 0.000 0.755 1
Cu1 Cu 0.500 0.500 0.000 1
Ge1 Ge 0.000 0.000 0.500 1
Ge2 Ge 0.000 0.500 0.870 1
Ge3 Ge 0.500 0.000 0.130 1
Ge4 Ge 0.500 0.500 0.500 1
Pt1 Pt 0.000 0.000 0.000 1
Pt2 Pt 0.000 0.500 0.629 1
Pt3 Pt 0.500 0.000 0.371 1
# - formation energy (eV/atom) = -0.610
# - energy (eV per atom) = -7.54
# - symmetry = P-4m2, No. 115

# CuGeRuPt (GGA-PBE, optimized geometry)
data_CuGeRuPt
_cell_length_a 6.060
_cell_length_b 6.060
_cell_length_c 6.060
_cell_angle_alpha 90.00
_cell_angle_beta 90.00
_cell_angle_gamma 90.00
_space_group_name_H-M_alt 'P 1'
_space_group_IT_number 1
loop_
_space_group_symop_operation_xyz
'x,y,z'
loop_
_atom_site_label
_atom_site_type_symbol
_atom_site_fract_x
_atom_site_fract_y
_atom_site_fract_z
_atom_site_occupancy
Cu1 Cu 0.000 0.000 0.000 1
Cu2 Cu 0.000 0.500 0.500 1
Cu3 Cu 0.500 0.000 0.500 1
Cu4 Cu 0.500 0.500 0.000 1
Ge1 Ge 0.000 0.000 0.500 1
Ge2 Ge 0.000 0.500 0.000 1
Ge3 Ge 0.500 0.000 0.000 1
Ge4 Ge 0.500 0.500 0.500 1
Ru1 Ru 0.250 0.250 0.750 1
Ru2 Ru 0.250 0.750 0.250 1
Ru3 Ru 0.750 0.250 0.250 1
Ru4 Ru 0.750 0.750 0.750 1
Pt1 Pt 0.250 0.250 0.250 1
Pt2 Pt 0.250 0.750 0.750 1
Pt3 Pt 0.750 0.250 0.750 1
Pt4 Pt 0.750 0.750 0.250 1
# - formation energy (eV/atom) = -0.177
# - energy (eV per atom) = -6.18
# - symmetry = F-43m, No. 216

# ScCuGePt (GGA-PBE, optimized geometry)
data_ScCuGePt
_cell_length_a 6.334
_cell_length_b 6.334
_cell_length_c 6.334
_cell_angle_alpha 90.00
_cell_angle_beta 90.00
_cell_angle_gamma 90.00
_space_group_name_H-M_alt 'P 1'
_space_group_IT_number 1
loop_
_space_group_symop_operation_xyz
'x,y,z'
loop_
_atom_site_label
_atom_site_type_symbol
_atom_site_fract_x
_atom_site_fract_y
_atom_site_fract_z
_atom_site_occupancy
Sc1 Sc 0.000 0.000 0.000 1
Sc2 Sc 0.000 0.500 0.500 1
Sc3 Sc 0.500 0.000 0.500 1
Sc4 Sc 0.500 0.500 0.000 1
Cu1 Cu 0.250 0.250 0.750 1
Cu2 Cu 0.250 0.750 0.250 1
Cu3 Cu 0.750 0.250 0.250 1
Cu4 Cu 0.750 0.750 0.750 1
Ge1 Ge 0.000 0.000 0.500 1
Ge2 Ge 0.000 0.500 0.000 1
Ge3 Ge 0.500 0.000 0.000 1
Ge4 Ge 0.500 0.500 0.500 1
Pt1 Pt 0.250 0.250 0.250 1
Pt2 Pt 0.250 0.750 0.750 1
Pt3 Pt 0.750 0.250 0.750 1
Pt4 Pt 0.750 0.750 0.250 1
# - formation energy (eV/atom) = -0.613
# - energy (eV per atom) = -5.88
# - symmetry = F-43m, No. 216

# Sm2CuGe4Pt3 (GGA-PBE, optimized geometry)
data_Sm2CuGe4Pt3
_cell_length_a 4.297
_cell_length_b 4.297
_cell_length_c 10.248
_cell_angle_alpha 90.00
_cell_angle_beta 90.00
_cell_angle_gamma 90.00
_space_group_name_H-M_alt 'P 1'
_space_group_IT_number 1
loop_
_space_group_symop_operation_xyz
'x,y,z'
loop_
_atom_site_label
_atom_site_type_symbol
_atom_site_fract_x
_atom_site_fract_y
_atom_site_fract_z
_atom_site_occupancy
Sm1 Sm 0.000 0.500 0.242 1
Sm2 Sm 0.500 0.000 0.758 1
Cu1 Cu 0.500 0.500 0.000 1
Ge1 Ge 0.000 0.000 0.500 1
Ge2 Ge 0.000 0.500 0.869 1
Ge3 Ge 0.500 0.000 0.131 1
Ge4 Ge 0.500 0.500 0.500 1
Pt1 Pt 0.000 0.000 0.000 1
Pt2 Pt 0.000 0.500 0.629 1
Pt3 Pt 0.500 0.000 0.371 1
# - formation energy (eV/atom) = -0.831
# - energy (eV per atom) = -5.84
# - symmetry = P-4m2, No. 115